1.
The following is a PBE calculation of a relaxed PrRuC crystal, from Alexandria.

Output
- DOS at the Fermi energy: 10.4 states/eV/cell
- Raw total energy: -93.751 eV/cell

Unit cell a=11.058 b=3.475 c=5.943 alpha=90.00 beta=108.61 gamma=90.00
Space group C2/m (No. 12)
Unique sites:
Pr1 0.104 0.000 0.322 [4 per cell]
Ru1 0.169 0.500 0.862 [4 per cell]
C1 0.234 0.000 0.772 [4 per cell]

2.
The following is a PBE calculation of a relaxed CdBi2Br4 crystal, from Alexandria.

Output
- Formation energy without anion corrections: -1.85 eV per formula unit
- DOS at the Fermi energy: 3.9 states/eV/cell
- Raw total energy: -34.446 eV/cell

Unit cell a=6.147 b=6.147 c=15.070 alpha=90.00 beta=90.00 gamma=90.00
Space group I4/mmm (No. 139)
Unique sites:
Cd1 0.000 0.000 0.000 [2 per cell]
Bi1 0.000 0.000 0.408 [4 per cell]
Br1 0.000 0.000 0.169 [4 per cell]
Br2 0.000 0.500 0.000 [4 per cell]

3.
The following is a PBE calculation of a relaxed La3BiIrCl crystal, from Alexandria.

Output
- Formation energy without anion corrections: -6.42 eV per formula unit
- DOS at the Fermi energy: 7.7 states/eV/cell
- Raw total energy: -71.576 eV/cell

Unit cell a=8.161 b=4.442 c=10.596 alpha=90.00 beta=106.48 gamma=90.00
Space group P2_1/m (No. 11)
Unique sites:
La1 0.042 0.250 0.364 [2 per cell]
La2 0.210 0.250 0.947 [2 per cell]
La3 0.431 0.750 0.639 [2 per cell]
Bi1 0.222 0.750 0.192 [2 per cell]
Ir1 0.204 0.250 0.634 [2 per cell]
Cl1 0.411 0.750 0.899 [2 per cell]

4.
The following is a PBE calculation of a relaxed Zn4CuNi7 crystal, from Alexandria.

Output
- DOS at the Fermi energy: 25.5 states/eV/cell
- Raw total energy: -96.421 eV/cell

Unit cell a=8.933 b=4.378 c=8.931 alpha=90.00 beta=117.82 gamma=90.00
Space group C2/m (No. 12)
Unique sites:
Zn1 0.087 0.000 0.306 [4 per cell]
Zn2 0.165 0.500 0.774 [4 per cell]
Cu1 0.000 0.500 0.000 [2 per cell]
Ni1 0.000 0.000 0.000 [2 per cell]
Ni2 0.124 0.500 0.471 [4 per cell]
Ni3 0.150 0.000 0.619 [4 per cell]
Ni4 0.210 0.000 0.915 [4 per cell]

5.
The following is a PBE calculation of a relaxed Li2SiPt crystal, from Alexandria.

Output
- Formation energy without anion corrections: -1.98 eV per formula unit
- DOS at the Fermi energy: 1.7 states/eV/cell
- Raw total energy: -17.269 eV/cell

Unit cell a=2.759 b=4.265 c=4.765 alpha=90.00 beta=90.17 gamma=90.00
Space group Pm (No. 6)
Unique sites:
Li1 0.000 0.000 0.000 [1 per cell]
Li2 0.007 0.500 0.718 [1 per cell]
Si1 0.503 0.000 0.481 [1 per cell]
Pt1 0.503 0.500 0.235 [1 per cell]

6.
The following is a PBE calculation of a relaxed NaPmCdAg crystal, from Alexandria.

Output
- DOS at the Fermi energy: 13.4 states/eV/cell
- Raw total energy: -41.431 eV/cell

Unit cell a=7.382 b=7.382 c=7.382 alpha=90.00 beta=90.00 gamma=90.00
Space group F-43m (No. 216)
Unique sites:
Na1 0.000 0.000 0.000 [4 per cell]
Pm1 0.000 0.000 0.500 [4 per cell]
Cd1 0.250 0.250 0.250 [4 per cell]
Ag1 0.250 0.250 0.750 [4 per cell]

7.
The following is a PBE calculation of a relaxed BeSb2As crystal, from Alexandria.

Output
- Formation energy without anion corrections: 1.01 eV per formula unit
- DOS at the Fermi energy: 4.2 states/eV/cell
- Raw total energy: -31.218 eV/cell

Unit cell a=6.744 b=3.956 c=6.858 alpha=90.00 beta=109.75 gamma=90.00
Space group C2/m (No. 12)
Unique sites:
Be1 0.000 0.000 0.000 [2 per cell]
Sb1 0.238 0.500 0.215 [4 per cell]
As1 0.000 0.500 0.500 [2 per cell]

8.
The following is a PBE calculation of a relaxed K2Ni3Cl8 crystal, from Alexandria.

Output
- Formation energy without anion corrections: -12.73 eV per formula unit
- Raw total energy: -94.081 eV/cell

Unit cell a=14.867 b=7.264 c=6.287 alpha=90.00 beta=107.15 gamma=90.00
Space group C2/m (No. 12)
Unique sites:
K1 0.236 0.000 0.172 [4 per cell]
Ni1 0.000 0.245 0.500 [4 per cell]
Ni2 0.000 0.500 0.000 [2 per cell]
Cl1 0.090 0.270 0.884 [8 per cell]
Cl2 0.092 0.500 0.394 [4 per cell]
Cl3 0.099 0.000 0.450 [4 per cell]